Computed, not measured: Er5V2O12 after structural relaxation at the PBE with a Hubbard U level of DFT.

Summary:
Total moment = 1.0 μB per formula unit
Mass density = 7.79 g/cm3
Crystal system = monoclinic
VASP energy = -312.679 eV per cell

Unit cell a=12.122 b=5.749 c=7.255 alpha=90.00 beta=107.52 gamma=90.00
Space group C2/m (No. 12)
Symmetry-distinct sites (fractional):
Er: 0.000 0.000 0.000 [2 per cell]
Er: 0.189 0.500 0.329 [4 per cell]
Er: 0.195 0.500 0.859 [4 per cell]
V: 0.000 0.233 0.500 [4 per cell]
O: 0.000 0.000 0.312 [4 per cell]
O: 0.000 0.500 0.320 [4 per cell]
O: 0.153 0.251 0.075 [8 per cell]
O: 0.161 0.259 0.580 [8 per cell]